Record 1
Dy3Mg3AgAu2 | PBE-GGA | optimized geometry

```
Dy3Mg3AgAu2
1.0
7.659 0.000 0.000
-3.830 6.633 0.000
0.000 0.000 4.071
Dy Mg Ag Au
3 3 1 2
direct
0.583 0.583 0.000 Dy
0.000 0.417 0.000 Dy
0.417 0.000 0.000 Dy
0.248 0.248 0.500 Mg
0.000 0.752 0.500 Mg
0.752 0.000 0.500 Mg
0.000 0.000 0.000 Ag
0.667 0.333 0.500 Au
0.333 0.667 0.500 Au
```

Results
Calculated total energy in eV per cell: -32.837
Spin magnetization in Bohr magnetons per cell: 0.0


Record 2
DyMgAgAu | PBE-GGA | optimized geometry

```
DyMgAgAu
1.0
4.915 0.000 0.000
0.000 6.927 0.000
0.000 0.000 4.916
Au Mg Dy Ag
2 2 2 2
direct
0.000 0.250 0.245 Au
0.000 0.750 0.245 Au
0.000 0.500 0.746 Mg
0.500 0.000 0.254 Mg
0.000 0.000 0.746 Dy
0.500 0.500 0.254 Dy
0.500 0.750 0.755 Ag
0.500 0.250 0.755 Ag
```

Results
Calculated total energy in eV per cell: -28.921
Spin magnetization in Bohr magnetons per cell: 0.0


Record 3
Tb2DyMg3AgAu2 | PBE-GGA | optimized geometry

```
Tb2DyMg3AgAu2
1.0
-3.912 -0.212 0.771
1.392 1.516 7.476
-1.294 5.818 -4.960
Mg Au Dy Tb Ag
3 2 1 2 1
direct
0.500 0.000 0.749 Mg
0.500 0.749 0.000 Mg
0.500 0.251 0.251 Mg
0.500 0.334 0.666 Au
0.500 0.666 0.334 Au
0.000 0.586 0.586 Dy
0.000 0.415 0.000 Tb
0.000 0.000 0.415 Tb
0.000 0.000 0.000 Ag
```

Results
Calculated total energy in eV per cell: -32.872
Spin magnetization in Bohr magnetons per cell: 0.0


Record 4
Dy2YMg3AgAu2 | PBE-GGA | optimized geometry

```
Dy2YMg3AgAu2
1.0
-0.473 -3.167 -2.375
-7.027 -1.216 3.021
0.829 4.541 -6.220
Y Dy Ag Au Mg
1 2 1 2 3
direct
0.000 0.586 0.586 Y
0.000 0.000 0.414 Dy
0.000 0.414 0.000 Dy
0.000 0.001 0.001 Ag
0.500 0.667 0.332 Au
0.500 0.332 0.667 Au
0.500 0.251 0.251 Mg
0.500 0.750 0.999 Mg
0.500 0.999 0.750 Mg
```

Results
Calculated total energy in eV per cell: -34.720
Spin magnetization in Bohr magnetons per cell: 0.0


Record 5
Pr2DyZn3AgAu2 | PBE-GGA | optimized geometry

```
Pr2DyZn3AgAu2
1.0
3.947 0.000 0.000
0.000 6.624 3.851
0.000 -6.624 3.851
Dy Pr Zn Au Ag
1 2 3 2 1
direct
0.000 0.592 0.592 Dy
0.000 0.409 0.001 Pr
0.000 0.001 0.409 Pr
0.500 0.257 0.257 Zn
0.500 0.746 0.995 Zn
0.500 0.995 0.746 Zn
0.500 0.343 0.664 Au
0.500 0.664 0.343 Au
0.000 0.994 0.994 Ag
```

Results
Calculated total energy in eV per cell: -32.163
Spin magnetization in Bohr magnetons per cell: 0.0
Formation energy from the elements in eV per formula unit: -4.861


Record 6
Dy2Zn2AgAu3 | PBE-GGA | optimized geometry

```
Dy2Zn2AgAu3
1.0
-0.361 -2.161 4.313
4.761 -0.854 -0.030
1.093 5.985 3.090
Ag Zn Au Dy
1 2 3 2
direct
0.245 0.000 0.750 Ag
0.748 0.000 0.001 Zn
0.252 0.500 0.499 Zn
0.245 0.000 0.250 Au
0.755 0.500 0.250 Au
0.755 0.500 0.750 Au
0.746 0.000 0.495 Dy
0.254 0.500 0.005 Dy
```

Results
Calculated total energy in eV per cell: -28.736
Spin magnetization in Bohr magnetons per cell: 0.0
Formation energy from the elements in eV per formula unit: -4.380


Record 7
Er2Ag3Au | PBE-GGA | optimized geometry

```
Er2Ag3Au
1.0
3.701 0.000 0.000
0.000 3.701 0.000
0.000 0.000 9.136
Ag Er Au
3 2 1
direct
0.000 0.000 0.172 Ag
0.500 0.500 0.665 Ag
0.500 0.500 0.330 Ag
0.500 0.500 0.993 Er
0.000 0.000 0.503 Er
0.000 0.000 0.837 Au
```

Results
Calculated total energy in eV per cell: -23.826
Spin magnetization in Bohr magnetons per cell: 0.0
Formation energy from the elements in eV per formula unit: -2.960


Record 8
Er3Ag2Au | PBE-GGA | optimized geometry

```
Er3Ag2Au
1.0
3.591 0.000 0.000
0.000 3.591 0.000
0.000 0.000 10.722
Ag Er Au
2 3 1
direct
0.500 0.500 0.833 Ag
0.500 0.500 0.167 Ag
0.000 0.000 0.662 Er
0.000 0.000 0.000 Er
0.000 0.000 0.338 Er
0.500 0.500 0.500 Au
```

Results
Calculated total energy in eV per cell: -25.794
Spin magnetization in Bohr magnetons per cell: 0.0
Formation energy from the elements in eV per formula unit: -3.189


Record 9
Er5Ag4Au | PBE-GGA | optimized geometry

```
Er5Ag4Au
1.0
3.585 0.000 0.000
0.000 3.585 0.000
0.000 0.000 17.942
Ag Er Au
4 5 1
direct
0.000 0.000 0.600 Ag
0.000 0.000 0.200 Ag
0.000 0.000 0.400 Ag
0.000 0.000 0.800 Ag
0.500 0.500 0.299 Er
0.500 0.500 0.903 Er
0.500 0.500 0.097 Er
0.500 0.500 0.500 Er
0.500 0.500 0.701 Er
0.000 0.000 0.000 Au
```

Results
Calculated total energy in eV per cell: -41.952
Spin magnetization in Bohr magnetons per cell: 0.0
Formation energy from the elements in eV per formula unit: -4.571


Record 10
Gd2ErAgHg3Au2 | PBE-GGA | optimized geometry

```
Gd2ErAgHg3Au2
1.0
3.767 0.000 0.000
0.000 6.889 3.993
0.000 -6.889 3.993
Hg Ag Au Gd Er
3 1 2 2 1
direct
0.500 0.270 0.000 Hg
0.500 0.730 0.730 Hg
0.500 0.000 0.270 Hg
0.000 0.002 0.002 Ag
0.500 0.334 0.663 Au
0.500 0.663 0.334 Au
0.000 0.597 0.000 Gd
0.000 0.000 0.597 Gd
0.000 0.404 0.404 Er
```

Results
Calculated total energy in eV per cell: -29.388
Spin magnetization in Bohr magnetons per cell: 0.0
Formation energy from the elements in eV per formula unit: -5.266


Record 11
GdEr2Mg3AgAu2 | PBE-GGA | optimized geometry

```
GdEr2Mg3AgAu2
1.0
-1.757 3.367 1.199
-6.685 -2.401 -3.054
1.759 -1.694 7.336
Au Mg Er Gd Ag
2 3 2 1 1
direct
0.500 0.332 0.670 Au
0.500 0.670 0.332 Au
0.500 0.250 0.999 Mg
0.500 0.999 0.250 Mg
0.500 0.751 0.751 Mg
0.000 0.000 0.587 Er
0.000 0.587 0.000 Er
0.000 0.413 0.413 Gd
0.000 0.998 0.998 Ag
```

Results
Calculated total energy in eV per cell: -32.787
Spin magnetization in Bohr magnetons per cell: 0.0


Record 12
Gd2ErZn3AgAu2 | PBE-GGA | optimized geometry

```
Gd2ErZn3AgAu2
1.0
-1.587 1.715 3.047
3.205 -5.108 4.544
3.690 6.374 -1.664
Zn Au Ag Er Gd
3 2 1 1 2
direct
0.500 0.259 0.002 Zn
0.500 0.740 0.740 Zn
0.500 0.002 0.259 Zn
0.500 0.663 0.334 Au
0.500 0.334 0.663 Au
0.000 0.002 0.002 Ag
0.000 0.406 0.406 Er
0.000 0.594 0.000 Gd
0.000 0.000 0.594 Gd
```

Results
Calculated total energy in eV per cell: -32.229
Spin magnetization in Bohr magnetons per cell: 0.0
Formation energy from the elements in eV per formula unit: -5.205


Record 13
Tb2ErAgHg3Au2 | PBE-GGA | optimized geometry

```
Tb2ErAgHg3Au2
1.0
3.746 0.000 0.000
0.000 6.888 3.988
0.000 -6.888 3.988
Er Hg Ag Tb Au
1 3 1 2 2
direct
0.000 0.403 0.403 Er
0.500 0.729 0.729 Hg
0.500 0.271 0.000 Hg
0.500 0.000 0.271 Hg
0.000 0.001 0.001 Ag
0.000 0.000 0.597 Tb
0.000 0.597 0.000 Tb
0.500 0.334 0.664 Au
0.500 0.664 0.334 Au
```

Results
Calculated total energy in eV per cell: -29.326
Spin magnetization in Bohr magnetons per cell: 0.0
Formation energy from the elements in eV per formula unit: -5.254


Record 14
HoEr2In3Ag2Au | PBE-GGA | optimized geometry

```
HoEr2In3Ag2Au
1.0
3.910 0.000 0.000
0.000 6.758 3.898
0.000 -6.758 3.898
In Ag Er Au Ho
3 2 2 1 1
direct
0.500 0.266 0.000 In
0.500 0.734 0.734 In
0.500 0.000 0.266 In
0.500 0.333 0.667 Ag
0.500 0.667 0.333 Ag
0.000 0.600 0.000 Er
0.000 0.000 0.600 Er
0.000 0.000 0.000 Au
0.000 0.401 0.401 Ho
```

Results
Calculated total energy in eV per cell: -35.418
Spin magnetization in Bohr magnetons per cell: 0.0


Record 15
HoEr2Mg3AgAu2 | PBE-GGA | optimized geometry

```
HoEr2Mg3AgAu2
1.0
3.967 0.000 0.000
0.000 6.670 3.846
0.000 -6.670 3.846
Er Mg Au Ho Ag
2 3 2 1 1
direct
0.000 0.000 0.414 Er
0.000 0.414 0.000 Er
0.500 0.250 0.250 Mg
0.500 0.000 0.749 Mg
0.500 0.749 0.000 Mg
0.500 0.332 0.667 Au
0.500 0.667 0.332 Au
0.000 0.586 0.586 Ho
0.000 0.000 0.000 Ag
```

Results
Calculated total energy in eV per cell: -32.722
Spin magnetization in Bohr magnetons per cell: 0.0


Record 16
Ho2ErMg3AgAu2 | PBE-GGA | optimized geometry

```
Ho2ErMg3AgAu2
1.0
-2.855 2.273 -1.577
-4.900 -5.926 0.327
0.570 4.845 5.952
Ag Mg Au Ho Er
1 3 2 2 1
direct
0.000 0.000 0.000 Ag
0.500 0.000 0.250 Mg
0.500 0.750 0.750 Mg
0.500 0.250 0.000 Mg
0.500 0.666 0.334 Au
0.500 0.334 0.666 Au
0.000 0.585 0.000 Ho
0.000 0.000 0.585 Ho
0.000 0.415 0.415 Er
```

Results
Calculated total energy in eV per cell: -32.739
Spin magnetization in Bohr magnetons per cell: 0.0


Record 17
ErTm2In3Ag2Au | PBE-GGA | optimized geometry

```
ErTm2In3Ag2Au
1.0
-2.770 0.137 2.703
0.605 -7.714 1.011
4.388 4.855 4.251
Er Ag In Tm Au
1 2 3 2 1
direct
0.000 0.397 0.397 Er
0.500 0.667 0.333 Ag
0.500 0.333 0.667 Ag
0.500 0.267 0.000 In
0.500 0.733 0.733 In
0.500 0.000 0.267 In
0.000 0.603 0.000 Tm
0.000 0.000 0.603 Tm
0.000 0.999 0.999 Au
```

Results
Calculated total energy in eV per cell: -35.154
Spin magnetization in Bohr magnetons per cell: 0.0


Record 18
TbEr2Mg3AgAu2 | PBE-GGA | optimized geometry

```
TbEr2Mg3AgAu2
1.0
3.971 0.000 0.000
0.000 6.694 3.853
0.000 -6.694 3.853
Tb Er Au Ag Mg
1 2 2 1 3
direct
0.000 0.414 0.414 Tb
0.000 0.000 0.586 Er
0.000 0.586 0.000 Er
0.500 0.669 0.333 Au
0.500 0.333 0.669 Au
0.000 0.999 0.999 Ag
0.500 0.999 0.251 Mg
0.500 0.750 0.750 Mg
0.500 0.251 0.999 Mg
```

Results
Calculated total energy in eV per cell: -32.769
Spin magnetization in Bohr magnetons per cell: 0.0


Record 19
Y2ErMg3AgAu2 | PBE-GGA | optimized geometry

```
Y2ErMg3AgAu2
1.0
-1.289 -3.400 1.646
5.956 0.111 4.893
-6.613 3.450 1.947
Mg Y Au Er Ag
3 2 2 1 1
direct
0.500 0.750 0.750 Mg
0.500 0.250 0.000 Mg
0.500 0.000 0.250 Mg
0.000 0.586 0.000 Y
0.000 0.000 0.586 Y
0.500 0.663 0.334 Au
0.500 0.334 0.663 Au
0.000 0.414 0.414 Er
0.000 0.002 0.002 Ag
```

Results
Calculated total energy in eV per cell: -36.577
Spin magnetization in Bohr magnetons per cell: 0.0


Record 20
Er2TmZn3AgAu2 | PBE-GGA | optimized geometry

```
Er2TmZn3AgAu2
1.0
3.914 0.000 0.000
0.000 6.379 3.689
0.000 -6.379 3.689
Zn Er Ag Au Tm
3 2 1 2 1
direct
0.500 0.750 0.000 Zn
0.500 0.250 0.250 Zn
0.500 0.000 0.750 Zn
0.000 0.413 0.000 Er
0.000 0.000 0.413 Er
0.000 0.999 0.999 Ag
0.500 0.666 0.334 Au
0.500 0.334 0.666 Au
0.000 0.587 0.587 Tm
```

Results
Calculated total energy in eV per cell: -32.031
Spin magnetization in Bohr magnetons per cell: 0.0
Formation energy from the elements in eV per formula unit: -5.278